VASP calculation (GGA-PBE) on crystalline Er3TmSn3 at its relaxed geometry.

Its space-group type is P6_3/m. The formation energy is -329 kJ/mol of formula units. The magnetization is 0.00 μB/f.u. As for the volume: 189.33 Å³/f.u. For the density of states at the Fermi level, the calculation gives 11.5 states/eV/cell.

a = 5.4260 Å, b = 8.9768 Å, c = 8.9768 Å
α = 120.00°, β = 90.00°, γ = 90.00°
Element x y z (fractional)
Sn  0.2500  0.0776  0.4549
Sn  0.2500  0.3773  0.9224
Sn  0.7500  0.4549  0.3773
Sn  0.7500  0.6227  0.0776
Er  0.2500  0.9916  0.7612
Er  0.7500  0.2304  0.9916
Sn  0.7500  0.9224  0.5451
Er  0.7500  0.0084  0.2388
Sn  0.2500  0.5451  0.6227
Tm  0.2500  0.6667  0.3333
Er  0.2500  0.7696  0.0084
Er  0.7500  0.7612  0.7696
Tm  0.7500  0.3333  0.6667
Er  0.2500  0.2388  0.2304

VASP calculation (GGA-PBE) on crystalline Cu2B2Pt5 at its relaxed geometry.

Its space-group type is Cmce. The formation energy is -28 kJ/mol of formula units. The magnetization is 0.00 μB/f.u. As for the volume: 124.54 Å³/f.u. For the density of states at the Fermi level, the calculation gives 7.6 states/eV/cell.

a = 5.1597 Å, b = 7.5126 Å, c = 7.4430 Å
α = 120.31°, β = 90.00°, γ = 90.00°
Element x y z (fractional)
B  0.8052  0.2824  0.0000
Cu  0.5000  0.2951  0.5902
Pt  0.0693  0.4460  0.2485
Pt  0.5693  0.0540  0.7515
Pt  0.4307  0.6975  0.7515
Cu  0.5000  0.7049  0.4098
B  0.6948  0.7824  0.0000
Pt  0.9307  0.5540  0.7515
B  0.3052  0.2176  0.0000
B  0.1948  0.7176  0.0000
Pt  0.4307  0.9460  0.2485
Pt  0.0693  0.1975  0.7515
Pt  0.0000  0.0000  0.0000
Pt  0.5693  0.3025  0.2485
Pt  0.9307  0.8025  0.2485
Cu  0.0000  0.2049  0.4098
Pt  0.5000  0.5000  0.0000
Cu  0.0000  0.7951  0.5902

VASP calculation (GGA-PBE) on crystalline K12Na2Tl at its relaxed geometry.

Its space-group type is P4/nbm. The formation energy is 130 kJ/mol of formula units. The magnetization is 0.00 μB/f.u. As for the volume: 1026.61 Å³/f.u. For the density of states at the Fermi level, the calculation gives 23.7 states/eV/cell.

a = 8.2415 Å, b = 8.2415 Å, c = 30.2293 Å
α = 90.00°, β = 90.00°, γ = 90.00°
Element x y z (fractional)
K  0.7500  0.2500  0.9273
K  0.6795  0.1795  0.4326
K  0.5000  0.5000  0.6770
K  0.6795  0.8205  0.5674
Na  0.0000  0.5000  0.7369
K  0.5000  0.5000  0.8080
K  0.2500  0.7500  0.9273
K  0.0000  0.0000  0.3230
Tl  0.0000  0.5000  0.0000
Na  0.5000  0.0000  0.2631
K  0.3205  0.8205  0.4326
K  0.2500  0.7500  0.0727
K  0.8205  0.3205  0.5674
Tl  0.5000  0.0000  0.0000
K  0.5000  0.5000  0.3230
K  0.7500  0.7500  0.9273
Na  0.5000  0.0000  0.7369
K  0.1795  0.3205  0.4326
K  0.0000  0.0000  0.1920
K  0.5000  0.5000  0.1920
K  0.0000  0.0000  0.8080
Na  0.0000  0.5000  0.2631
K  0.8205  0.6795  0.4326
K  0.3205  0.1795  0.5674
K  0.1795  0.6795  0.5674
K  0.7500  0.7500  0.0727
K  0.2500  0.2500  0.9273
K  0.7500  0.2500  0.0727
K  0.2500  0.2500  0.0727
K  0.0000  0.0000  0.6770

VASP calculation (GGA-PBE) on crystalline Ac4SmY at its relaxed geometry.

Its space-group type is Cmmm. The formation energy is 307 kJ/mol of formula units. The magnetization is 0.00 μB/f.u. As for the volume: 289.47 Å³/f.u. For the density of states at the Fermi level, the calculation gives 8.4 states/eV/cell.

a = 3.8106 Å, b = 8.7158 Å, c = 8.7157 Å
α = 90.04°, β = 90.00°, γ = 90.00°
Element x y z (fractional)
Sm  0.5000  0.0000  0.0000
Ac  0.0000  0.7635  0.7635
Ac  0.5000  0.2644  0.7357
Y  0.0000  0.5000  0.5000
Ac  0.5000  0.7356  0.2643
Ac  0.0000  0.2365  0.2365

VASP calculation (GGA-PBE) on crystalline ScAsCl2 at its relaxed geometry.

Its space-group type is P4mm. The value obtained for the energy relative to the elements, uncorrected is -1113 meV/atom. The magnetization is 0.00 μB/f.u. As for the volume: 123.03 Å³/f.u. For the density of states at the Fermi level, the calculation gives 0.3 states/eV/cell.

a = 3.9106 Å, b = 3.9127 Å, c = 8.0402 Å
α = 90.00°, β = 90.00°, γ = 90.00°
Element x y z (fractional)
Sc  0.0000  0.0000  0.6484
Cl  0.5000  0.5000  0.3214
As  0.5000  0.5000  0.6009
Cl  0.0000  0.0000  0.9293

VASP calculation (GGA-PBE) on crystalline AuCl3 at its relaxed geometry.

Its space-group type is R-3m. The value obtained for the energy relative to the elements, uncorrected is 213 meV/atom. The magnetization is 0.00 μB/f.u. As for the volume: 91.02 Å³/f.u. For the density of states at the Fermi level, the calculation gives 5.6 states/eV/cell.

a = 7.2505 Å, b = 7.2505 Å, c = 7.2505 Å
α = 31.25°, β = 31.25°, γ = 31.25°
Element x y z (fractional)
Au  0.0000  0.0000  0.0000
Cl  0.7318  0.7318  0.7318
Cl  0.2682  0.2682  0.2682
Cl  0.5000  0.5000  0.5000

VASP calculation (GGA-PBE) on crystalline InGe6 at its relaxed geometry.

Its space-group type is Im-3m. The formation energy is 145 kJ/mol of formula units. The magnetization is 0.00 μB/f.u. As for the volume: 179.38 Å³/f.u. For the density of states at the Fermi level, the calculation gives 4.1 states/eV/cell.

a = 6.1537 Å, b = 6.1537 Å, c = 6.1537 Å
α = 109.47°, β = 109.47°, γ = 109.47°
Element x y z (fractional)
In  0.0000  0.0000  0.0000
Ge  0.2500  0.5000  0.7500
Ge  0.7500  0.5000  0.2500
Ge  0.2500  0.7500  0.5000
Ge  0.7500  0.2500  0.5000
Ge  0.5000  0.2500  0.7500
Ge  0.5000  0.7500  0.2500

VASP calculation (GGA-PBE) on crystalline NaCoSb2I at its relaxed geometry.

Its space-group type is P4/mmm. The value obtained for the energy relative to the elements, uncorrected is -34 meV/atom. The magnetization is 0.00 μB/f.u. As for the volume: 217.74 Å³/f.u. For the density of states at the Fermi level, the calculation gives 2.1 states/eV/cell.

a = 4.6948 Å, b = 4.6948 Å, c = 9.8788 Å
α = 90.00°, β = 90.00°, γ = 90.00°
Element x y z (fractional)
Sb  0.0000  0.5000  0.0000
Sb  0.5000  0.0000  0.0000
I  0.0000  0.0000  0.5000
Na  0.5000  0.5000  0.5000
Co  0.0000  0.0000  0.0000